(1)
The following is a DFT calculation (GGA-PBE) of RbAuO3 after structural relaxation.

Structure (CIF):
```
data_RbAuO3
_chemical_formula_sum 'Rb4 Au4 O12'
_cell_length_a 5.6708
_cell_length_b 5.6727
_cell_length_c 8.7561
_cell_angle_alpha 90.00
_cell_angle_beta 90.00
_cell_angle_gamma 90.00
_symmetry_space_group_name_H-M 'P 1'
_symmetry_Int_Tables_number 1
loop_
_symmetry_equiv_pos_as_xyz
'x,y,z'
loop_
_atom_site_label
_atom_site_type_symbol
_atom_site_fract_x
_atom_site_fract_y
_atom_site_fract_z
O1 O 0.8068 0.8068 0.0050
O2 O 0.3068 0.6932 0.9950
O3 O 0.1932 0.1932 0.9950
O4 O 0.3068 0.6932 0.5050
O5 O 0.6932 0.3068 0.4950
O6 O 0.0078 0.5093 0.2500
O7 O 0.4922 0.0093 0.2500
O8 O 0.1932 0.1932 0.5050
O9 O 0.9922 0.4907 0.7500
O10 O 0.5078 0.9907 0.7500
O11 O 0.8068 0.8068 0.4950
O12 O 0.6932 0.3068 0.0050
Au1 Au 0.5000 0.0000 0.0000
Au2 Au 0.0000 0.5000 0.0000
Au3 Au 0.0000 0.5000 0.5000
Au4 Au 0.5000 0.0000 0.5000
Rb1 Rb 0.9974 0.0106 0.2500
Rb2 Rb 0.5026 0.5106 0.2500
Rb3 Rb 0.0026 0.9894 0.7500
Rb4 Rb 0.4974 0.4894 0.7500
```

Calculated values
Space-group type: No. 62
Total DFT energy (no corrections), eV per formula unit: -19.618

(2)
The following is a DFT calculation (GGA-PBE) of RbAu3O2 after structural relaxation.

Structure (CIF):
```
data_RbAu3O2
_chemical_formula_sum 'Rb2 Au6 O4'
_cell_length_a 6.5940
_cell_length_b 6.5940
_cell_length_c 6.8443
_cell_angle_alpha 90.00
_cell_angle_beta 90.00
_cell_angle_gamma 124.95
_symmetry_space_group_name_H-M 'P 1'
_symmetry_Int_Tables_number 1
loop_
_symmetry_equiv_pos_as_xyz
'x,y,z'
loop_
_atom_site_label
_atom_site_type_symbol
_atom_site_fract_x
_atom_site_fract_y
_atom_site_fract_z
Au1 Au 0.8370 0.6014 0.2455
Au2 Au 0.5718 0.4282 0.8780
Au3 Au 0.6014 0.8370 0.7455
Au4 Au 0.1630 0.3986 0.7455
Au5 Au 0.4282 0.5718 0.3780
Au6 Au 0.3986 0.1630 0.2455
O1 O 0.7522 0.2477 0.8394
O2 O 0.2477 0.7522 0.3394
O3 O 0.0841 0.9159 0.0881
O4 O 0.9159 0.0841 0.5881
Rb1 Rb 0.8640 0.1360 0.1994
Rb2 Rb 0.1360 0.8640 0.6994
```

Calculated values
Relative energy among the computed polymorphs, eV per atom: 0.4119
Space-group type: No. 36

(3)
The following is a DFT calculation (GGA-PBE) of RbAu3O2 after structural relaxation.

Structure (CIF):
```
data_RbAu3O2
_chemical_formula_sum 'Rb1 Au3 O2'
_cell_length_a 6.0384
_cell_length_b 6.0384
_cell_length_c 4.7303
_cell_angle_alpha 90.00
_cell_angle_beta 90.00
_cell_angle_gamma 120.00
_symmetry_space_group_name_H-M 'P 1'
_symmetry_Int_Tables_number 1
loop_
_symmetry_equiv_pos_as_xyz
'x,y,z'
loop_
_atom_site_label
_atom_site_type_symbol
_atom_site_fract_x
_atom_site_fract_y
_atom_site_fract_z
Au1 Au 0.5000 0.0000 0.0000
Au2 Au 0.5000 0.5000 0.0000
Au3 Au 0.0000 0.5000 0.0000
O1 O 0.3333 0.6667 0.7684
O2 O 0.6667 0.3333 0.2316
Rb1 Rb 0.0000 0.0000 0.5000
```

Calculated values
Relative energy among the computed polymorphs, eV per atom: 0.0000
Space-group type: No. 164

(4)
The following is a DFT calculation (GGA-PBE) of RbAuO3 after structural relaxation.

Structure (CIF):
```
data_RbAuO3
_chemical_formula_sum 'Rb1 Au1 O3'
_cell_length_a 4.0146
_cell_length_b 4.0146
_cell_length_c 4.5113
_cell_angle_alpha 90.00
_cell_angle_beta 90.00
_cell_angle_gamma 90.00
_symmetry_space_group_name_H-M 'P 1'
_symmetry_Int_Tables_number 1
loop_
_symmetry_equiv_pos_as_xyz
'x,y,z'
loop_
_atom_site_label
_atom_site_type_symbol
_atom_site_fract_x
_atom_site_fract_y
_atom_site_fract_z
Au1 Au 0.5000 0.5000 0.5243
O1 O 0.5000 0.5000 0.0815
O2 O 0.0000 0.5000 0.6154
O3 O 0.5000 0.0000 0.6154
Rb1 Rb 0.0000 0.0000 0.0636
```

Calculated values
Space-group type: No. 99
Total DFT energy (no corrections), eV per formula unit: -19.541

(5)
The following is a DFT calculation (GGA-PBE) of Rb2AuO4 after structural relaxation.

Structure (CIF):
```
data_Rb2AuO4
_chemical_formula_sum 'Rb4 Au2 O8'
_cell_length_a 6.9975
_cell_length_b 6.9975
_cell_length_c 6.9975
_cell_angle_alpha 115.37
_cell_angle_beta 98.22
_cell_angle_gamma 115.37
_symmetry_space_group_name_H-M 'P 1'
_symmetry_Int_Tables_number 1
loop_
_symmetry_equiv_pos_as_xyz
'x,y,z'
loop_
_atom_site_label
_atom_site_type_symbol
_atom_site_fract_x
_atom_site_fract_y
_atom_site_fract_z
O1 O 0.0424 0.2524 0.2948
O2 O 0.5400 0.2476 0.2924
O3 O 0.7076 0.7524 0.4600
O4 O 0.0424 0.7476 0.7900
O5 O 0.2100 0.2524 0.9576
O6 O 0.0448 0.7524 0.2924
O7 O 0.7076 0.2476 0.9552
O8 O 0.7052 0.7476 0.9576
Rb1 Rb 0.3750 0.2500 0.6250
Rb2 Rb 0.8750 0.2500 0.6250
Rb3 Rb 0.3750 0.7500 0.6250
Rb4 Rb 0.3750 0.7500 0.1250
Au1 Au 0.7500 0.5000 0.2500
Au2 Au 0.0000 0.0000 0.0000
```

Calculated values
Space-group type: No. 141
Total DFT energy (no corrections), eV per formula unit: -26.484

(6)
The following is a DFT calculation (GGA-PBE) of RbAuO3 after structural relaxation.

Structure (CIF):
```
data_RbAuO3
_chemical_formula_sum 'Rb2 Au2 O6'
_cell_length_a 5.4841
_cell_length_b 5.4841
_cell_length_c 7.0541
_cell_angle_alpha 67.13
_cell_angle_beta 67.13
_cell_angle_gamma 60.00
_symmetry_space_group_name_H-M 'P 1'
_symmetry_Int_Tables_number 1
loop_
_symmetry_equiv_pos_as_xyz
'x,y,z'
loop_
_atom_site_label
_atom_site_type_symbol
_atom_site_fract_x
_atom_site_fract_y
_atom_site_fract_z
O1 O 0.4445 0.8130 0.6745
O2 O 0.0680 0.4445 0.6745
O3 O 0.1870 0.9320 0.3255
O4 O 0.5555 0.1870 0.3255
O5 O 0.8130 0.0680 0.6745
O6 O 0.9320 0.5555 0.3255
Rb1 Rb 0.6444 0.6444 0.0668
Rb2 Rb 0.3556 0.3556 0.9332
Au1 Au 0.8343 0.8343 0.4970
Au2 Au 0.1657 0.1657 0.5030
```

Calculated values
Space-group type: No. 148
Total DFT energy (no corrections), eV per formula unit: -20.910

(7)
The following is a DFT calculation (GGA-PBE) of Rb2Au2O5 after structural relaxation.

Structure (CIF):
```
data_Rb2Au2O5
_chemical_formula_sum 'Rb2 Au2 O5'
_cell_length_a 9.3037
_cell_length_b 3.9784
_cell_length_c 3.9784
_cell_angle_alpha 90.00
_cell_angle_beta 90.00
_cell_angle_gamma 90.00
_symmetry_space_group_name_H-M 'P 1'
_symmetry_Int_Tables_number 1
loop_
_symmetry_equiv_pos_as_xyz
'x,y,z'
loop_
_atom_site_label
_atom_site_type_symbol
_atom_site_fract_x
_atom_site_fract_y
_atom_site_fract_z
O1 O 0.2209 0.0000 0.5000
O2 O 0.2209 0.5000 0.0000
O3 O 0.7791 0.5000 0.0000
O4 O 0.5000 0.5000 0.5000
O5 O 0.7791 0.0000 0.5000
Au1 Au 0.2705 0.5000 0.5000
Au2 Au 0.7295 0.5000 0.5000
Rb1 Rb 0.5000 0.0000 0.0000
Rb2 Rb 0.0000 0.0000 0.0000
```

Calculated values
Relative energy among the computed polymorphs, eV per atom: 0.0000
Space-group type: No. 123

(8)
The following is a DFT calculation (GGA-PBE) of Rb3AuO4 after structural relaxation.

Structure (CIF):
```
data_Rb3AuO4
_chemical_formula_sum 'Rb6 Au2 O8'
_cell_length_a 8.2111
_cell_length_b 8.2111
_cell_length_c 8.2111
_cell_angle_alpha 60.00
_cell_angle_beta 60.00
_cell_angle_gamma 60.00
_symmetry_space_group_name_H-M 'P 1'
_symmetry_Int_Tables_number 1
loop_
_symmetry_equiv_pos_as_xyz
'x,y,z'
loop_
_atom_site_label
_atom_site_type_symbol
_atom_site_fract_x
_atom_site_fract_y
_atom_site_fract_z
Au1 Au 0.5000 0.5000 0.5000
Au2 Au 0.0000 0.0000 0.0000
O1 O 0.6024 0.6024 0.6024
O2 O 0.8073 0.3976 0.3976
O3 O 0.1927 0.6024 0.6024
O4 O 0.3976 0.8073 0.3976
O5 O 0.6024 0.1927 0.6024
O6 O 0.6024 0.6024 0.1927
O7 O 0.3976 0.3976 0.8073
O8 O 0.3976 0.3976 0.3976
Rb1 Rb 0.0000 0.5000 0.5000
Rb2 Rb 0.5000 0.0000 0.5000
Rb3 Rb 0.5000 0.5000 0.0000
Rb4 Rb 0.5000 0.0000 0.0000
Rb5 Rb 0.0000 0.0000 0.5000
Rb6 Rb 0.0000 0.5000 0.0000
```

Calculated values
Space-group type: No. 225
Total DFT energy (no corrections), eV per formula unit: -27.155

Number 4 is which compound?
RbAuO3

Which formula does entry 5 have?
Rb2AuO4